! Tm2SiI, optimized geometry, DFT PBE-GGA; values from VASP
! Raw total energy   -4.800 eV per atom
! Symmetry   R-3m (166)
! N(E_F)   1.9 states/eV per cell
&SYSTEM
  ibrav = 0, nat = 4, ntyp = 3
/
ATOMIC_SPECIES
Tm 168.93 Tm.upf
Si 28.09 Si.upf
I 126.90 I.upf
ATOMIC_POSITIONS angstrom
Tm 0.0000 0.0000 5.0326
Tm 0.0000 0.0000 16.9058
Si 0.0000 0.0000 10.9692
I 0.0000 0.0000 0.0000
CELL_PARAMETERS angstrom
2.0868 1.2048 7.3128
-2.0868 1.2048 7.3128
0.0000 -2.4097 7.3128